(1)
# Hf3CrTe

A geometry-optimized Hf3CrTe structure (GGA-PBEsol, the Alexandria database).

Results
Symmetry: Pm-3m (221)
DOS at the Fermi energy: 2.92 states/eV/cell
ΔE_f (raw): 1.2315 eV per atom

```
Hf3CrTe
1.0
-4.5035 -1.5438 -1.9011
-1.4846 -1.4440 4.6893
-1.9477 4.6702 0.8215
Cr Te Hf
1 1 3
Cartesian
-3.9679 0.8412 1.8048
0.0000 0.0000 0.0000
-0.7423 -0.7220 2.3447
-0.9738 2.3351 0.4107
-2.2517 -0.7719 -0.9506
```

---

(2)
# Fe2TcTe

A geometry-optimized Fe2TcTe structure (GGA-PBEsol, the Alexandria database).

Results
Symmetry: Pmmm (47)
DOS at the Fermi energy: 4.92 states/eV/cell
ΔE_f (raw): 0.4234 eV per atom

```
Fe2TcTe
1.0
2.9290 0.0000 0.0000
0.0000 3.6950 0.0000
0.0000 0.0000 5.2193
Fe Tc Te
2 1 1
Cartesian
0.0000 0.0000 4.0608
0.0000 0.0000 1.1586
1.4645 1.8475 0.0000
1.4645 1.8475 2.6097
```

---

(3)
# YRhBr

A geometry-optimized YRhBr structure (GGA-PBEsol, the Alexandria database).

Results
Symmetry: F-43m (216)
DOS at the Fermi energy: 3.77 states/eV/cell
ΔE_f (raw): -0.1764 eV per atom

```
YRhBr
1.0
-2.9051 -2.6874 -2.1427
1.2680 -2.1559 -3.7413
0.5929 -4.4607 0.0646
Y Rh Br
1 1 1
Cartesian
-0.5221 -4.6520 -2.9097
0.0000 0.0000 0.0000
-0.2611 -2.3260 -1.4549
```

---

(4)
# Zr2TaCl

A geometry-optimized Zr2TaCl structure (GGA-PBEsol, the Alexandria database).

Results
Symmetry: Pmmm (47)
DOS at the Fermi energy: 4.33 states/eV/cell
Energy above the most stable polymorph in this dataset: 0.257 eV per atom
ΔE_f (raw): 0.2727 eV per atom

```
Zr2TaCl
1.0
-0.5718 -0.9185 3.0421
-1.0397 -4.0751 -1.4258
5.1437 -1.4929 0.5160
Cl Zr Ta
1 2 1
Cartesian
-0.8057 -2.4968 0.8081
0.0000 0.0000 0.0000
2.2860 -1.2057 1.7790
2.0520 -2.7840 -0.4549
```

---

(5)
# KCdAs2

A geometry-optimized KCdAs2 structure (GGA-PBEsol, the Alexandria database).

Results
Symmetry: I4/mmm (139)
Raw total energy: -12.0 eV per formula unit
DOS at the Fermi energy: 1.78 states/eV/cell

```
KCdAs2
1.0
-2.4252 -3.3575 2.0967
0.3564 -0.3548 -5.2951
2.9818 -3.1667 -1.6220
As Cd K
2 1 1
Cartesian
0.3174 -1.8085 -2.5289
0.5957 -5.0706 -2.2916
0.2783 -3.2621 0.2373
0.0000 0.0000 0.0000
```

---

(6)
# CaCu3P4O14

A geometry-optimized CaCu3P4O14 structure (GGA-PBEsol, the Alexandria database).

Results
Symmetry: P2_1/c (14)
DOS at the Fermi energy: 8.99 states/eV/cell
ΔE_f (raw): -1.8654 eV per atom

```
CaCu3P4O14
1.0
-6.8521 -1.2722 1.9799
2.4940 -4.2988 5.8692
3.2287 7.6879 4.2589
Ca Cu P O
2 6 8 28
Cartesian
-3.4260 -0.6361 0.9899
-0.5647 1.0584 6.0540
0.7151 3.2005 3.3672
-0.8203 3.7777 9.4812
-1.8444 -1.0836 8.7408
-0.3090 -1.6609 2.6268
0.0000 0.0000 0.0000
2.8614 1.6945 5.0641
0.5569 0.5345 9.7214
0.9222 3.7128 6.8554
-1.6863 1.5823 2.3865
-2.0515 -1.5960 5.2526
-3.3543 3.3032 5.9846
3.6515 2.9815 7.8107
2.2250 -1.1864 6.1234
-4.7808 -0.8646 4.2973
-2.8422 1.9857 6.5742
4.0165 2.7870 9.2854
1.7128 0.1312 5.5338
-5.1459 -0.6701 2.8225
1.0018 2.7706 5.6482
0.2382 1.8890 10.3658
-2.1311 -0.6537 6.4597
-1.3675 0.2279 1.7422
-0.3593 0.2169 8.5351
1.1736 5.1763 6.4773
-0.7701 1.8999 3.5729
-2.3029 -3.0594 5.6306
-2.1756 3.7064 4.9757
2.0751 3.2636 7.8839
1.0463 -1.5895 7.1323
-3.2045 -1.1468 4.2240
-0.7554 -1.2960 4.5062
-3.1880 1.6367 2.6491
-0.3740 3.4129 7.6018
2.0587 0.4802 9.4588
2.2861 -2.3927 5.1550
-4.8711 0.3919 5.1971
-3.4155 4.5096 6.9530
3.7417 1.7249 6.9109
-5.4250 -2.0953 4.9073
3.4818 -1.0116 6.9551
4.2957 4.2122 7.2006
-4.6112 3.1285 5.1529
```